(1)
Compound: PAuCl8
Source: Alexandria
Functional: GGA-PBE
Structure: relaxed

```
40
Lattice="-9.948 -6.382 2.353 4.363 -7.106 -8.701 6.916 1.980 9.668" Properties=species:S:1:pos:R:3 pbc="T T T"
P 2.030 -2.459 3.211
P 0.817 -6.848 -5.901
P -0.699 -9.049 0.110
P -6.402 -6.640 -0.446
Au -3.451 -10.451 -4.697
Au 4.782 -1.057 8.018
Au -2.425 -5.794 4.466
Au 3.756 -5.714 -1.145
Cl -7.976 -7.631 0.176
Cl -0.888 -7.257 -0.663
Cl 0.293 -8.902 1.795
Cl 1.285 -5.607 7.688
Cl 9.307 -3.877 3.146
Cl 2.219 -4.251 3.984
Cl 1.038 -2.605 1.526
Cl 0.046 -5.901 -4.367
Cl -0.019 -2.850 8.684
Cl -2.475 -9.809 0.450
Cl 0.283 -10.207 -1.132
Cl -5.075 -6.531 0.994
Cl 1.350 -8.657 -5.363
Cl 3.806 -1.699 2.872
Cl 1.048 -1.301 4.453
Cl 6.406 -4.977 2.327
Cl 2.933 -7.675 -2.070
Cl 4.560 -3.744 -0.221
Cl -1.601 -3.833 5.392
Cl -3.229 -7.764 3.542
Cl 4.311 -4.947 -3.263
Cl 3.242 -6.499 0.977
Cl -1.911 -5.009 2.345
Cl -2.980 -6.561 6.584
Cl 3.968 -3.025 7.092
Cl 5.597 0.911 8.944
Cl -2.637 -8.483 -3.771
Cl -4.266 -12.419 -5.623
Cl -0.019 -3.998 -1.469
Cl 1.350 -7.510 4.790
Cl 7.047 -7.209 -0.862
Cl -5.716 -4.299 4.184
```

Calculated values
* DFT total energy: -2.861 eV/atom
* crystal system: orthorhombic

***

(2)
Compound: PAu2Cl
Source: Alexandria
Functional: GGA-PBE
Structure: relaxed

```
4
Lattice="-2.485 2.602 2.776 -3.947 2.246 -0.176 -5.589 -4.254 3.280" Properties=species:S:1:pos:R:3 pbc="T T T"
Au -6.869 4.270 2.886
Au -9.914 0.696 4.825
Cl -5.655 -0.354 2.843
P -2.023 1.127 0.866
```

Calculated values
* DFT total energy: -3.471 eV/atom
* crystal system: monoclinic
* ΔE to the lowest computed polymorph: 0 meV/atom

***

(3)
Compound: PAu2Cl
Source: Alexandria
Functional: GGA-PBE
Structure: relaxed

```
4
Lattice="-2.567 -4.214 -0.948 -0.389 -0.624 3.829 -3.329 2.030 -0.007" Properties=species:S:1:pos:R:3 pbc="T T T"
Au 0.000 0.000 0.000
Au -1.859 0.703 1.911
Cl -1.478 -2.419 1.441
P -2.948 -1.092 -0.478
```

Calculated values
* DFT total energy: -2.836 eV/atom
* crystal system: tetragonal
* ΔE to the lowest computed polymorph: 635 meV/atom

***

(4)
Compound: P2PbAuCl
Source: Alexandria
Functional: GGA-PBE
Structure: relaxed

```
5
Lattice="4.798 0.000 0.000 0.000 4.798 0.000 0.000 0.000 6.252" Properties=species:S:1:pos:R:3 pbc="T T T"
Pb 2.399 2.399 3.126
P 0.000 2.399 0.000
P 2.399 0.000 0.000
Au 0.000 0.000 0.000
Cl 0.000 0.000 3.126
```

Calculated values
* DFT total energy: -3.421 eV/atom
* crystal system: tetragonal
* ΔE to the lowest computed polymorph: 0 meV/atom

***

Number 1: size of the total moment 0.0 μB per formula unit, ΔE_f (raw) -515 meV/atom. Number 2: size of the total moment 0.0 μB per formula unit, ΔE_f (raw) -19 meV/atom. Number 3: size of the total moment 0.0 μB per formula unit, ΔE_f (raw) 617 meV/atom. Number 4: size of the total moment 1.3 μB per formula unit, ΔE_f (raw) 509 meV/atom.